Entry 1:
SiSbO | PBE | optimized geometry

Summary:
E_form (uncorrected)   -1.23 eV/f.u.
Magnetic moment   0.000 μB per atom
Energy   -5.243 eV/atom

a = 14.6701 Å, b = 2.9276 Å, c = 5.0123 Å
α = 90.00°, β = 90.00°, γ = 90.00°
Element x y z (fractional)
Si: 0.0000 0.0000 0.0000
Si: 0.0000 0.5000 0.5000
Si: 0.5000 0.0000 0.0471
Si: 0.5000 0.5000 0.5471
Sb: 0.1872 0.0000 0.9999
Sb: 0.1872 0.5000 0.4999
Sb: 0.8128 0.0000 0.9999
Sb: 0.8128 0.5000 0.4999
O: 0.4246 0.0000 0.3657
O: 0.4246 0.5000 0.8657
O: 0.5754 0.0000 0.3657
O: 0.5754 0.5000 0.8657

---

Entry 2:
LaHo6Er3Sc2 | PBE | optimized geometry

Summary:
DFT formation energy   4.0 kJ per mole of atoms
Magnetic moment   0.000 μB per atom
Energy   -4.854 eV/atom

a = 6.0468 Å, b = 6.0468 Å, c = 11.6115 Å
α = 94.96°, β = 94.96°, γ = 119.97°
Element x y z (fractional)
La: 0.0000 0.0000 0.0000
Ho: 0.0837 0.4202 0.2491
Ho: 0.2531 0.2531 0.7508
Ho: 0.4202 0.0837 0.2491
Ho: 0.5798 0.9163 0.7509
Ho: 0.7469 0.7469 0.2492
Ho: 0.9163 0.5798 0.7509
Er: 0.1674 0.8326 0.5000
Er: 0.5000 0.5000 0.5000
Er: 0.8326 0.1674 0.5000
Sc: 0.3334 0.6666 0.0000
Sc: 0.6666 0.3334 0.0000

---

- Number 1 is which compound?
  SiSbO

---

- What is the formula in the second record?
  LaHo6Er3Sc2

---

- What is the magnetic moment in the first record?
  0.000 μB per atom

---

- The lowest energy belongs to which entry?
  SiSbO